Record 1
Below is TaAg2S after structural relaxation, with properties calculated at the PBE level.

abc: 7.641 7.641 5.017
angles: 90.00 90.00 90.00
Space group I-42d (No. 122)
Symmetry-distinct sites (fractional):
Ta  0.000  0.000  0.000
Ag  0.217  0.250  0.625
S  0.000  0.000  0.500

Summary:
Electronic total energy in Ry/atom: -0.36947


Record 2
Below is TaAgS2 after structural relaxation, with properties calculated at the PBE level.

abc: 3.3098 3.3098 24.3010
angles: 90.00 90.00 120.00
Space group R-3m (No. 166, hexagonal axes)
Symmetry-distinct sites (fractional):
Ta  0.0000  0.0000  0.0000
Ag  0.0000  0.0000  0.5000
S  0.0000  0.0000  0.3988

Summary:
Electronic total energy in Ry/atom: -0.47059


Record 3
Below is Ta3AgS after structural relaxation, with properties calculated at the PBE level.

abc: 4.908 4.908 4.908
angles: 90.00 90.00 90.00
Space group Pm-3m (No. 221)
Symmetry-distinct sites (fractional):
Ta  0.000  0.000  0.500
Ag  0.000  0.000  0.000
S  0.500  0.500  0.500

Summary:
Electronic total energy in Ry/atom: -0.46726


Record 4
Below is TaAgS4 after structural relaxation, with properties calculated at the PBE level.

abc: 8.398 10.892 6.252
angles: 90.00 108.12 90.00
Space group C2/c (No. 15)
Symmetry-distinct sites (fractional):
Ta  0.000  0.062  0.250
Ag  0.000  0.473  0.250
S  0.122  0.256  0.448
S  0.199  0.059  0.033

Summary:
Electronic total energy in Ry/atom: -0.41510


Record 5
Below is TaAg7S6 after structural relaxation, with properties calculated at the PBE level.

abc: 7.370 7.494 7.503
angles: 115.67 93.32 118.84
Space group P1 (No. 1)
Symmetry-distinct sites (fractional):
Ta  0.000  0.000  0.000
Ag  0.202  0.531  0.421
Ag  0.220  0.703  0.078
Ag  0.274  0.006  0.722
Ag  0.448  0.304  0.521
Ag  0.538  0.568  0.971
Ag  0.698  0.086  0.268
Ag  0.870  0.056  0.621
S  0.213  0.452  0.715
S  0.380  0.255  0.120
S  0.478  0.951  0.471
S  0.857  0.717  0.643
S  0.876  0.249  0.065
S  0.930  0.805  0.182

Summary:
Electronic total energy in Ry/atom: -0.31468


Record 6
Below is Ta2AgS after structural relaxation, with properties calculated at the PBE level.

abc: 3.920 3.920 19.163
angles: 90.00 90.00 90.00
Space group I-42d (No. 122)
Symmetry-distinct sites (fractional):
Ta  0.241  0.250  0.125
Ag  0.000  0.000  0.500
S  0.000  0.000  0.000

Summary:
Electronic total energy in Ry/atom: -0.52188


Record 7
Below is TaAg7S6 after structural relaxation, with properties calculated at the PBE level.

abc: 7.366 7.449 7.620
angles: 118.60 112.87 93.25
Space group P1 (No. 1)
Symmetry-distinct sites (fractional):
Ta  0.000  0.000  0.000
Ag  0.078  0.456  0.884
Ag  0.523  0.155  0.944
Ag  0.529  0.457  0.368
Ag  0.549  0.893  0.334
Ag  0.720  0.695  0.008
Ag  0.909  0.338  0.399
Ag  0.991  0.022  0.521
S  0.113  0.370  0.223
S  0.124  0.866  0.230
S  0.148  0.882  0.770
S  0.458  0.509  0.041
S  0.644  0.851  0.760
S  0.712  0.283  0.574

Summary:
Electronic total energy in Ry/atom: -0.31550


Record 8
Below is Ta3AgS after structural relaxation, with properties calculated at the PBE level.

abc: 4.560 4.560 4.560
angles: 90.00 90.00 90.00
Space group Pm-3m (No. 221)
Symmetry-distinct sites (fractional):
Ta  0.000  0.000  0.500
Ag  0.500  0.500  0.500
S  0.000  0.000  0.000

Summary:
Electronic total energy in Ry/atom: -0.59163


Record 9
Below is TaAg4S5 after structural relaxation, with properties calculated at the PBE level.

abc: 8.037 8.037 6.680
angles: 90.00 90.00 90.00
Space group I4 (No. 79)
Symmetry-distinct sites (fractional):
Ta  0.000  0.000  0.000
Ag  0.146  0.739  0.526
S  0.000  0.000  0.349
S  0.057  0.720  0.888

Summary:
Electronic total energy in Ry/atom: -0.34238


Record 10
Below is TaAg7S6 after structural relaxation, with properties calculated at the PBE level.

abc: 7.967 7.265 13.195
angles: 90.00 126.19 90.00
Space group Pc (No. 7)
Symmetry-distinct sites (fractional):
Ta  0.000  0.248  0.000
Ag  0.069  0.426  0.310
Ag  0.521  0.036  0.062
Ag  0.521  0.139  0.321
Ag  0.661  0.346  0.696
Ag  0.713  0.474  0.498
Ag  0.957  0.011  0.267
Ag  0.974  0.207  0.469
S  0.110  0.492  0.624
S  0.132  0.017  0.147
S  0.173  0.248  0.907
S  0.434  0.271  0.464
S  0.638  0.232  0.868
S  0.714  0.271  0.233

Summary:
Electronic total energy in Ry/atom: -0.31657


Record 11
Below is ZrTaAgS2 after structural relaxation, with properties calculated at the PBE level.

abc: 4.673 4.673 5.175
angles: 90.00 90.00 90.00
Space group P4/mmm (No. 123)
Symmetry-distinct sites (fractional):
Zr  0.000  0.000  0.000
Ta  0.500  0.500  0.000
Ag  0.000  0.000  0.500
S  0.000  0.500  0.500

Summary:
Electronic total energy in Ry/atom: -0.37086


Record 12
Below is ZrTa2Ag2S6 after structural relaxation, with properties calculated at the PBE level.

abc: 6.079 10.497 8.046
angles: 90.00 107.42 90.00
Space group C2/m (No. 12)
Symmetry-distinct sites (fractional):
Zr  0.000  0.000  0.000
Ta  0.000  0.360  0.000
Ag  0.000  0.197  0.500
S  0.086  0.500  0.786
S  0.100  0.177  0.812

Summary:
Electronic total energy in Ry/atom: -0.48196